(1)
Density functional theory data (PBE) for La5Tb4Th after structural relaxation.

Cell and atoms, written as POSCAR:
```
La5Tb4Th
1.0
-0.964 -3.414 -0.241
9.522 -2.306 -5.415
6.629 -0.481 6.509
La Tb Th
5 4 1
Direct
0.797 0.599 0.593 La
0.897 0.279 0.795 La
0.103 0.721 0.205 La
0.500 0.500 0.000 La
0.203 0.401 0.407 La
0.304 0.081 0.609 Tb
0.906 0.818 0.812 Tb
0.696 0.919 0.391 Tb
0.094 0.182 0.188 Tb
0.500 0.000 0.000 Th
```

total magnetization	0.0	μB/f.u.
E	-49.79	eV/cell
DOS(E_F)	15.225	states/eV/cell

(2)
Density functional theory data (PBE) for La2Tb7Th after structural relaxation.

Cell and atoms, written as POSCAR:
```
La2Tb7Th
1.0
3.501 0.000 0.000
0.000 11.355 -0.774
0.000 -5.813 9.785
La Tb Th
2 7 1
Direct
0.500 0.681 0.319 La
0.500 0.319 0.681 La
0.000 0.829 0.171 Tb
0.000 0.171 0.829 Tb
0.500 0.143 0.310 Tb
0.500 0.857 0.690 Tb
0.500 0.310 0.143 Tb
0.500 0.690 0.857 Tb
0.500 0.500 0.500 Tb
0.000 0.000 0.000 Th
```

total magnetization	0.4	μB/f.u.
E	-45.40	eV/cell
DOS(E_F)	16.107	states/eV/cell

(3)
Density functional theory data (PBE) for LaTbTh after structural relaxation.

Cell and atoms, written as POSCAR:
```
LaTbTh
1.0
-2.038 -1.594 2.545
2.734 0.286 2.369
-2.980 7.540 -0.252
Tb Th La
1 1 1
Direct
0.011 0.011 0.021 Tb
0.664 0.664 0.329 Th
0.325 0.325 0.650 La
```

total magnetization	0.0	μB/f.u.
E	-16.90	eV/cell
DOS(E_F)	4.596	states/eV/cell